# Te2MoNO

A relaxed Te2MoNO crystal (PBE with a Hubbard U, Alexandria via LeMat-Bulk).

- E_tot (eV/atom) = -4.200
- DOS(E_F) (states/eV/atom) = 0.31
- energy above the most stable polymorph in this dataset (meV per atom) = 199.3
- magnetization (μB per cell) = 2.02

Lattice parameters (Å, degrees): 4.7496 4.7496 4.0613 90.00 90.00 90.00
Last column: nearest neighbours and their distance in Å.
Space group P4/mmm (No. 123)
Unique sites:
Te1 0.0000 0.5000 0.0000 (multiplicity 2)  2 O 2.37
Mo1 0.0000 0.0000 0.5000 (multiplicity 1)  8 Te 3.12, 4 N 3.36
N1 0.5000 0.5000 0.5000 (multiplicity 1)  2 O 2.03
O1 0.5000 0.5000 0.0000 (multiplicity 1)  2 N 2.03